# LuNiBC PBE optimized geometry
# space-group type = P4/nmm, No. 129
# formation energy from the elements = -0.565 eV per atom
data_LuNiBC
_chemical_formula_sum 'Lu2 Ni2 B2 C2'
_cell_length_a 3.4968
_cell_length_b 3.4968
_cell_length_c 7.5599
_cell_angle_alpha 90.00
_cell_angle_beta 90.00
_cell_angle_gamma 90.00
_symmetry_space_group_name_H-M 'P 1'
_symmetry_Int_Tables_number 1
_symmetry_space_group_name_Hall 'P 1'
loop_
_atom_site_label
_atom_site_fract_x
_atom_site_fract_y
_atom_site_fract_z
Lu1 0.0000 0.5000 0.8383
Lu2 0.5000 0.0000 0.1617
Ni1 0.0000 0.0000 0.5000
Ni2 0.5000 0.5000 0.5000
C1 0.0000 0.5000 0.1500
C2 0.5000 0.0000 0.8500
B1 0.0000 0.5000 0.3467
B2 0.5000 0.0000 0.6533



# AlCrIn2 PBE optimized geometry
# space-group type = P4/mmm, No. 123
# formation energy from the elements = 0.343 eV per atom
data_AlCrIn2
_chemical_formula_sum 'Al1 Cr1 In2'
_cell_length_a 4.9033
_cell_length_b 4.9033
_cell_length_c 3.3653
_cell_angle_alpha 90.00
_cell_angle_beta 90.00
_cell_angle_gamma 90.00
_symmetry_space_group_name_H-M 'P 1'
_symmetry_Int_Tables_number 1
_symmetry_space_group_name_Hall 'P 1'
loop_
_atom_site_label
_atom_site_fract_x
_atom_site_fract_y
_atom_site_fract_z
Cr1 0.0000 0.5000 0.5000
Al1 0.5000 0.0000 0.5000
In1 0.5000 0.5000 0.0000
In2 0.0000 0.0000 0.0000



# Pd2AuF6 PBE optimized geometry
# raw formation energy = -0.996 eV/atom
# space-group type = P4_2/mnm, No. 136
data_Pd2AuF6
_chemical_formula_sum 'Pd4 Au2 F12'
_cell_length_a 5.0191
_cell_length_b 5.0191
_cell_length_c 10.6375
_cell_angle_alpha 90.00
_cell_angle_beta 90.00
_cell_angle_gamma 90.00
_symmetry_space_group_name_H-M 'P 1'
_symmetry_Int_Tables_number 1
_symmetry_space_group_name_Hall 'P 1'
loop_
_atom_site_label
_atom_site_fract_x
_atom_site_fract_y
_atom_site_fract_z
F1 0.7925 0.2075 0.6831
F2 0.7925 0.2075 0.3169
F3 0.6838 0.6838 0.5000
F4 0.7075 0.7075 0.8169
F5 0.2925 0.2925 0.8169
F6 0.7075 0.7075 0.1831
F7 0.2925 0.2925 0.1831
F8 0.8162 0.1838 0.0000
F9 0.2075 0.7925 0.3169
F10 0.3162 0.3162 0.5000
F11 0.1838 0.8162 0.0000
F12 0.2075 0.7925 0.6831
Pd1 0.5000 0.5000 0.6691
Pd2 0.0000 0.0000 0.8309
Pd3 0.5000 0.5000 0.3309
Pd4 0.0000 0.0000 0.1691
Au1 0.5000 0.5000 0.0000
Au2 0.0000 0.0000 0.5000



no.,volume (Å³/cell)
1,92.44
2,80.91
3,267.97